A relaxed Na3La2DyS6 crystal. Source: Alexandria via LeMat-Bulk, functional PBE-GGA.

Results
Uncorrected formation energy, eV per atom: -1.85

Lattice parameters (Å, degrees): 7.1886 12.4517 7.0823 90.00 109.77 90.00
Last column: nearest neighbours and their distance in Å.
Space group C2/m (No. 12)
Symmetry-distinct sites (fractional):
Na1 0.0000 0.0000 0.0000 (multiplicity 2)  6 S 2.96-3.07
Na2 0.0000 0.3351 0.0000 (multiplicity 4)  6 S 2.95-3.07
La1 0.0000 0.1668 0.5000 (multiplicity 4)  6 S 2.88-2.89
Dy1 0.0000 0.5000 0.5000 (multiplicity 2)  6 S 2.77-2.78
S1 0.2380 0.3393 0.7321 (multiplicity 8)  1 Dy 2.78, 2 La 2.89, 3 Na 2.95-3.07
S2 0.2447 0.5000 0.2703 (multiplicity 4)  1 Dy 2.77, 2 La 2.88, 3 Na 2.95-3.07


A relaxed Ba3Pr4O9 crystal. Source: Alexandria via LeMat-Bulk, functional PBE-GGA.

Results
Uncorrected formation energy, eV per atom: -2.97

Lattice parameters (Å, degrees): 6.3686 6.3686 26.9728 90.00 90.00 120.00
Last column: nearest neighbours and their distance in Å.
Space group R3 (No. 146, hexagonal axes)
Symmetry-distinct sites (fractional):
Ba1 0.0000 0.0000 0.0000 (multiplicity 3)  6 O 2.71-2.92
Ba2 0.0000 0.0000 0.1703 (multiplicity 3)  6 O 2.73-2.93
Ba3 0.0000 0.0000 0.5724 (multiplicity 3)  3 O 2.63
Pr1 0.0000 0.0000 0.3039 (multiplicity 3)  6 O 2.36-2.48
Pr2 0.0000 0.0000 0.4304 (multiplicity 3)  6 O 2.35-2.53
Pr3 0.0000 0.0000 0.7402 (multiplicity 3)  3 O 2.33
Pr4 0.0000 0.0000 0.8681 (multiplicity 3)  6 O 2.38-2.42
O1 0.0203 0.6085 0.0324 (multiplicity 9)  3 Pr 2.33-2.53
O2 0.0777 0.3364 0.9191 (multiplicity 9)  2 Pr 2.36-2.38, 1 Ba 2.63
O3 0.0860 0.7412 0.4774 (multiplicity 9)  2 Pr 2.35-2.42


A relaxed HoPuCd2O6 crystal. Source: Alexandria via LeMat-Bulk, functional PBE-GGA.

Results
Uncorrected formation energy, eV per atom: -2.26

Lattice parameters (Å, degrees): 5.7457 5.7457 15.2611 90.00 90.00 120.00
Last column: nearest neighbours and their distance in Å.
Space group R3 (No. 146, hexagonal axes)
Symmetry-distinct sites (fractional):
Ho1 0.0000 0.0000 0.0000 (multiplicity 3)  6 O 2.24-2.31
Pu1 0.0000 0.0000 0.4955 (multiplicity 3)  6 O 2.16
Cd1 0.0000 0.0000 0.2781 (multiplicity 3)  3 O 2.25
Cd2 0.0000 0.0000 0.7834 (multiplicity 3)  3 O 2.26
O1 0.0463 0.3407 0.5699 (multiplicity 9)  1 Pu 2.16, 1 Cd 2.25, 1 Ho 2.31
O2 0.0548 0.6939 0.0733 (multiplicity 9)  1 Pu 2.16, 1 Ho 2.24, 1 Cd 2.26


A relaxed ThAgSn2 crystal. Source: Alexandria via LeMat-Bulk, functional PBE-GGA.

Results
Excess energy over the best structure of this formula in the dataset, kJ/mol of formula units: 84
Energy relative to the elements, meV per atom: -202

Lattice parameters (Å, degrees): 4.8016 4.8016 15.6781 90.00 90.00 120.00
Last column: nearest neighbours and their distance in Å.
Space group R-3m (No. 166, hexagonal axes)
Symmetry-distinct sites (fractional):
Th1 0.0000 0.0000 0.0000 (multiplicity 3)  8 Sn 3.23-3.57
Ag1 0.0000 0.0000 0.5000 (multiplicity 3)  6 Sn 2.93
Sn1 0.0000 0.0000 0.2275 (multiplicity 6)  3 Ag 2.93, 3 Th 3.23


A relaxed LiHg6Au crystal. Source: Alexandria via LeMat-Bulk, functional PBE-GGA.

Results
Energy relative to the elements, meV per atom: -68

Lattice parameters (Å, degrees): 6.6512 11.0033 6.1630 90.00 118.09 90.00
Last column: nearest neighbours and their distance in Å.
Space group C2/m (No. 12)
Symmetry-distinct sites (fractional):
Li1 0.0000 0.0000 0.0000 (multiplicity 2)  6 Hg 2.87-2.94, 2 Au 3.08
Hg1 0.0007 0.5000 0.2525 (multiplicity 4)  1 Au 2.93, 1 Li 2.94, 4 Hg 3.05-3.11
Hg2 0.0157 0.2208 0.7598 (multiplicity 8)  1 Li 2.87, 1 Au 2.88, 4 Hg 3.06-3.19
Au1 0.0000 0.0000 0.5000 (multiplicity 2)  6 Hg 2.88-2.93, 2 Li 3.08


A relaxed K2CdFe crystal. Source: Alexandria via LeMat-Bulk, functional PBE-GGA.

Results
Energy relative to the elements, meV per atom: 509

Lattice parameters (Å, degrees): 4.6596 4.6596 25.8268 90.00 90.00 120.00
Last column: nearest neighbours and their distance in Å.
Space group R3m (No. 160, hexagonal axes)
Symmetry-distinct sites (fractional):
K1 0.0000 0.0000 0.0000 (multiplicity 3)  3 Cd 3.58, 3 Fe 3.59
K2 0.0000 0.0000 0.1834 (multiplicity 3)  3 Fe 3.58, 3 Cd 3.59
Cd1 0.0000 0.0000 0.4250 (multiplicity 3)  3 Fe 2.69
Fe1 0.0000 0.0000 0.7586 (multiplicity 3)  3 Cd 2.69